# 1
Here is an optimized crystal structure of TePd124 from OQMD. Energies are from PBE.

Summary:
The calculation puts the volume at 1887.3 Å³ per cell. The calculation puts the final energy at -0.3799 Ry per atom.

Cell: 13.8713 13.8713 13.8713 Å, 60.00 60.00 60.00°
With the nearest neighbours (Å) after each atom.
Sites, in units of the cell vectors:
Pd  0.3999  0.8002  0.3999  12 Pd 2.77-2.78
Pd  0.4002  0.5998  0.2000  12 Pd 2.77-2.78
Pd  0.2013  0.0000  0.7987  11 Pd 2.76-2.79, 1 Te 2.79
Pd  0.7997  0.4006  0.7997  12 Pd 2.77-2.78
Pd  0.8001  0.6000  0.6000  12 Pd 2.77-2.78
Pd  0.7997  0.0000  0.7997  12 Pd 2.77-2.78
Pd  0.4002  0.0000  0.0000  12 Pd 2.76-2.78
Pd  0.2008  0.7992  0.7992  12 Pd 2.77-2.79
Pd  0.2003  0.2003  0.0000  12 Pd 2.77-2.78
Pd  0.8000  0.8000  0.8000  12 Pd 2.77
Pd  0.0000  0.2003  0.2003  12 Pd 2.77-2.78
Pd  0.2000  0.5998  0.4002  12 Pd 2.77-2.78
Pd  0.2000  0.2000  0.2000  12 Pd 2.77
Pd  0.2003  0.0000  0.2003  12 Pd 2.77-2.78
Pd  0.0000  0.2003  0.5994  12 Pd 2.77-2.78
Pd  0.5998  0.4002  0.0000  12 Pd 2.76-2.78
Pd  0.4002  0.0000  0.5998  12 Pd 2.76-2.78
Pd  0.5994  0.2003  0.0000  12 Pd 2.77-2.78
Pd  0.0000  0.7987  0.0000  11 Pd 2.76-2.79, 1 Te 2.79
Pd  0.0000  0.4002  0.5998  12 Pd 2.76-2.78
Pd  0.7987  0.0000  0.0000  11 Pd 2.76-2.79, 1 Te 2.79
Pd  0.0000  0.6000  0.6000  12 Pd 2.77-2.78
Pd  0.4006  0.0000  0.7997  12 Pd 2.77-2.78
Pd  0.5998  0.4002  0.8000  12 Pd 2.77-2.78
Pd  0.4000  0.2000  0.2000  12 Pd 2.77
Pd  0.7992  0.2008  0.7992  12 Pd 2.77-2.79
Pd  0.6001  0.6001  0.1998  12 Pd 2.77-2.78
Pd  0.2003  0.0000  0.5994  12 Pd 2.77-2.78
Pd  0.4000  0.1999  0.0000  12 Pd 2.77-2.78
Pd  0.0000  0.5998  0.4002  12 Pd 2.76-2.78
Pd  0.3999  0.3999  0.3999  12 Pd 2.77-2.78
Pd  0.5994  0.2003  0.2003  12 Pd 2.77-2.78
Pd  0.8000  0.2000  0.5998  12 Pd 2.77-2.78
Pd  0.1999  0.4000  0.4000  12 Pd 2.77-2.78
Pd  0.5998  0.4002  0.2000  12 Pd 2.77-2.78
Pd  0.2003  0.5994  0.2003  12 Pd 2.77-2.78
Pd  0.4006  0.7997  0.0000  12 Pd 2.77-2.78
Pd  0.3999  0.3999  0.8002  12 Pd 2.77-2.78
Pd  0.0000  0.6000  0.8001  12 Pd 2.77-2.78
Pd  0.8002  0.3999  0.3999  12 Pd 2.77-2.78
Pd  0.5998  0.2000  0.8000  12 Pd 2.77-2.78
Pd  0.1998  0.6001  0.6001  12 Pd 2.77-2.78
Pd  0.6001  0.1998  0.6001  12 Pd 2.77-2.78
Pd  0.2008  0.7992  0.2008  12 Pd 2.77-2.79
Pd  0.0000  0.0000  0.5998  12 Pd 2.76-2.78
Pd  0.8000  0.5998  0.4002  12 Pd 2.77-2.78
Pd  0.2000  0.4002  0.5998  12 Pd 2.77-2.78
Pd  0.7987  0.0000  0.2013  11 Pd 2.76-2.79, 1 Te 2.79
Pd  0.5998  0.0000  0.4002  12 Pd 2.76-2.78
Pd  0.8000  0.4002  0.2000  12 Pd 2.77-2.78
Pd  0.7997  0.4006  0.0000  12 Pd 2.77-2.78
Pd  0.2000  0.4002  0.8000  12 Pd 2.77-2.78
Pd  0.0000  0.5994  0.2003  12 Pd 2.77-2.78
Pd  0.8000  0.4002  0.5998  12 Pd 2.77-2.78
Pd  0.4002  0.5998  0.8000  12 Pd 2.77-2.78
Pd  0.2013  0.0000  0.0000  11 Pd 2.76-2.79, 1 Te 2.79
Pd  0.7992  0.2008  0.2008  12 Pd 2.77-2.79
Pd  0.4006  0.7997  0.7997  12 Pd 2.77-2.78
Pd  0.5998  0.8000  0.2000  12 Pd 2.77-2.78
Pd  0.7997  0.0000  0.4006  12 Pd 2.77-2.78
Pd  0.6000  0.4000  0.4000  12 Pd 2.77-2.78
Pd  0.4002  0.2000  0.8000  12 Pd 2.77-2.78
Pd  0.0000  0.1999  0.4000  12 Pd 2.77-2.78
Pd  0.4000  0.4000  0.1999  12 Pd 2.77-2.78
Pd  0.2008  0.2008  0.7992  12 Pd 2.77-2.79
Pd  0.7987  0.2013  0.0000  11 Pd 2.76-2.79, 1 Te 2.79
Pd  0.2000  0.2000  0.4000  12 Pd 2.77
Pd  0.0000  0.7997  0.4006  12 Pd 2.77-2.78
Pd  0.2003  0.5994  0.0000  12 Pd 2.77-2.78
Pd  0.4000  0.1999  0.4000  12 Pd 2.77-2.78
Pd  0.2013  0.7987  0.0000  11 Pd 2.76-2.79, 1 Te 2.79
Pd  0.7992  0.7992  0.2008  12 Pd 2.77-2.79
Pd  0.8001  0.0000  0.6000  12 Pd 2.77-2.78
Pd  0.2003  0.2003  0.5994  12 Pd 2.77-2.78
Pd  0.2000  0.4000  0.2000  12 Pd 2.77
Pd  0.8000  0.5998  0.2000  12 Pd 2.77-2.78
Pd  0.1999  0.0000  0.4000  12 Pd 2.77-2.78
Pd  0.8000  0.8000  0.6000  12 Pd 2.77
Pd  0.8001  0.6000  0.0000  12 Pd 2.77-2.78
Pd  0.1999  0.4000  0.0000  12 Pd 2.77-2.78
Pd  0.6000  0.6000  0.4000  12 Pd 2.77-2.78
Pd  0.0000  0.4000  0.1999  12 Pd 2.77-2.78
Pd  0.6000  0.6000  0.8001  12 Pd 2.77-2.78
Pd  0.0000  0.0000  0.2013  11 Pd 2.76-2.79, 1 Te 2.79
Pd  0.4000  0.0000  0.4000  12 Pd 2.77-2.78
Pd  0.0000  0.8001  0.6000  12 Pd 2.77-2.78
Pd  0.0000  0.2013  0.7987  11 Pd 2.76-2.79, 1 Te 2.79
Pd  0.6000  0.0000  0.6000  12 Pd 2.77-2.78
Pd  0.0000  0.0000  0.4002  12 Pd 2.76-2.78
Pd  0.5998  0.8000  0.4002  12 Pd 2.77-2.78
Pd  0.6000  0.4000  0.6000  12 Pd 2.77-2.78
Pd  0.7997  0.7997  0.4006  12 Pd 2.77-2.78
Pd  0.6000  0.6000  0.0000  12 Pd 2.77-2.78
Pd  0.0000  0.4006  0.7997  12 Pd 2.77-2.78
Pd  0.0000  0.0000  0.7987  11 Pd 2.76-2.79, 1 Te 2.79
Pd  0.4002  0.8000  0.5998  12 Pd 2.77-2.78
Pd  0.6000  0.0000  0.8001  12 Pd 2.77-2.78
Pd  0.4000  0.6000  0.6000  12 Pd 2.77-2.78
Pd  0.4002  0.8000  0.2000  12 Pd 2.77-2.78
Pd  0.4000  0.6000  0.4000  12 Pd 2.77-2.78
Pd  0.5998  0.0000  0.0000  12 Pd 2.76-2.78
Pd  0.2000  0.5998  0.8000  12 Pd 2.77-2.78
Pd  0.0000  0.7997  0.7997  12 Pd 2.77-2.78
Pd  0.0000  0.4000  0.4000  12 Pd 2.77-2.78
Pd  0.4002  0.2000  0.5998  12 Pd 2.77-2.78
Pd  0.4000  0.0000  0.1999  12 Pd 2.77-2.78
Pd  0.4000  0.4000  0.0000  12 Pd 2.77-2.78
Pd  0.6000  0.8000  0.8000  12 Pd 2.77
Pd  0.0000  0.4002  0.0000  12 Pd 2.76-2.78
Pd  0.6000  0.8001  0.6000  12 Pd 2.77-2.78
Pd  0.2000  0.8000  0.4002  12 Pd 2.77-2.78
Pd  0.0000  0.7987  0.2013  11 Pd 2.76-2.79, 1 Te 2.79
Pd  0.2000  0.8000  0.5998  12 Pd 2.77-2.78
Pd  0.6000  0.8001  0.0000  12 Pd 2.77-2.78
Pd  0.8000  0.2000  0.4002  12 Pd 2.77-2.78
Pd  0.4000  0.4000  0.6000  12 Pd 2.77-2.78
Pd  0.5994  0.0000  0.2003  12 Pd 2.77-2.78
Pd  0.4002  0.5998  0.0000  12 Pd 2.76-2.78
Pd  0.0000  0.2013  0.0000  11 Pd 2.76-2.79, 1 Te 2.79
Pd  0.0000  0.5998  0.0000  12 Pd 2.76-2.78
Pd  0.5998  0.2000  0.4002  12 Pd 2.77-2.78
Pd  0.8000  0.6000  0.8000  12 Pd 2.77
Pd  0.6001  0.6001  0.6001  12 Pd 2.77-2.78
Pd  0.7997  0.7997  0.0000  12 Pd 2.77-2.78
Te  0.0000  0.0000  0.0000  12 Pd 2.79

***

# 2
Here is an optimized crystal structure of AcTaNO from OQMD. Energies are from PBE.

Summary:
The total magnetization comes out at 0.09 μB/cell. The calculation puts the volume at 269.8 Å³ per cell. The calculation puts the final energy at -0.6477 Ry per atom. The calculation puts the energy relative to the lowest polymorph listed for this composition at 285 meV/atom.

Cell: 5.3933 6.8598 7.2936 Å, 90.00 90.00 90.00°
With the nearest neighbours (Å) after each atom.
Sites, in units of the cell vectors:
Ta  0.5257  0.3566  0.1345  3 N 2.06-2.21, 1 O 2.09
Ta  0.5257  0.8566  0.8655  3 N 2.06-2.21, 1 O 2.09
Ta  0.0257  0.6434  0.8655  3 N 2.06-2.21, 1 O 2.09
Ta  0.0257  0.1434  0.1345  3 N 2.06-2.21, 1 O 2.09
O  0.9994  0.4382  0.6547  1 Ta 2.09
O  0.9994  0.9382  0.3453  1 Ta 2.09
O  0.4994  0.0618  0.6547  1 Ta 2.09
O  0.4994  0.5618  0.3453  1 Ta 2.09
N  0.6722  0.1066  0.0225  3 Ta 2.06-2.21
N  0.6722  0.6066  0.9775  3 Ta 2.06-2.21
N  0.1722  0.8934  0.9775  3 Ta 2.06-2.21
N  0.1722  0.3934  0.0225  3 Ta 2.06-2.21
Ac  0.0051  0.0710  0.6621  4 O 2.48-2.73, 1 N 2.75
Ac  0.0051  0.5710  0.3379  4 O 2.48-2.73, 1 N 2.75
Ac  0.5051  0.4290  0.6621  4 O 2.48-2.73, 1 N 2.75
Ac  0.5051  0.9290  0.3379  4 O 2.48-2.73, 1 N 2.75

***

# 3
Here is an optimized crystal structure of TaNbPd from OQMD. Energies are from PBE.

Summary:
The value obtained for the calculated formation energy is 0.516 eV/atom. The total magnetization comes out at 0.02 μB/cell. The calculation puts the volume at 59.6 Å³ per cell. The calculation puts the final energy at -0.6266 Ry per atom. The calculation puts the energy relative to the lowest polymorph listed for this composition at 0 meV/atom.

Cell: 4.3843 4.3843 4.3843 Å, 60.00 60.00 60.00°
With the nearest neighbours (Å) after each atom.
Sites, in units of the cell vectors:
Nb  0.2500  0.2500  0.2500  4 Pd 2.68
Pd  0.0000  0.0000  0.0000  4 Ta 2.68, 4 Nb 2.68
Ta  0.7500  0.7500  0.7500  4 Pd 2.68

***

# 4
Here is an optimized crystal structure of Zr3Cu4Ge6 from OQMD. Energies are from PBE.

Summary:
The total magnetization comes out at 0.00 μB/cell. The calculation puts the volume at 213.2 Å³ per cell. The calculation puts the final energy at -0.4173 Ry per atom.

Cell: 14.8054 14.8054 14.8054 Å, 165.15 165.15 21.06°
With the nearest neighbours (Å) after each atom.
Sites, in units of the cell vectors:
Ge  0.8527  0.8527  0.0000  4 Cu 2.52
Ge  0.2500  0.7500  0.5000  4 Ge 2.71, 4 Zr 2.91
Ge  0.5417  0.5417  0.0000  4 Cu 2.39, 1 Ge 2.43
Ge  0.7500  0.2500  0.5000  4 Ge 2.71, 4 Zr 2.91
Ge  0.1473  0.1473  0.0000  4 Cu 2.52
Ge  0.4583  0.4583  0.0000  4 Cu 2.39, 1 Ge 2.43
Zr  0.0000  0.0000  0.0000  8 Ge 2.97, 8 Cu 3.27
Zr  0.3254  0.3254  0.0000  8 Ge 2.82-2.91, 4 Cu 3.09
Zr  0.6746  0.6746  0.0000  8 Ge 2.82-2.91, 4 Cu 3.09
Cu  0.9088  0.4088  0.5000  4 Ge 2.39-2.52
Cu  0.0912  0.5912  0.5000  4 Ge 2.39-2.52
Cu  0.5912  0.0912  0.5000  4 Ge 2.39-2.52
Cu  0.4088  0.9088  0.5000  4 Ge 2.39-2.52

***

# 5
Here is an optimized crystal structure of ScCuS2 from OQMD. Energies are from PBE.

Summary:
The total magnetization comes out at 0.00 μB/cell. The calculation puts the volume at 267.8 Å³ per cell. The calculation puts the final energy at -0.4237 Ry per atom.

Cell: 6.1524 6.7370 6.5053 Å, 90.00 96.76 90.00°
With the nearest neighbours (Å) after each atom.
Sites, in units of the cell vectors:
Sc  0.6978  0.5433  0.3034  7 S 2.64-2.86
Sc  0.3022  0.0433  0.1966  7 S 2.64-2.86
Sc  0.6978  0.9567  0.8034  7 S 2.64-2.86
Sc  0.3022  0.4567  0.6966  7 S 2.64-2.86
Cu  0.9064  0.3406  0.9486  4 S 2.26-2.38, 1 Cu 2.49
Cu  0.0936  0.6594  0.0514  4 S 2.26-2.38, 1 Cu 2.49
Cu  0.9064  0.1594  0.4486  4 S 2.26-2.38, 1 Cu 2.49
Cu  0.0936  0.8406  0.5514  4 S 2.26-2.38, 1 Cu 2.49
S  0.5558  0.2276  0.4933  1 Cu 2.26
S  0.9068  0.6116  0.7137  3 Cu 2.26-2.38
S  0.9068  0.8884  0.2137  3 Cu 2.26-2.38
S  0.4442  0.7724  0.5067  1 Cu 2.26
S  0.0932  0.3884  0.2863  3 Cu 2.26-2.38
S  0.4442  0.7276  0.0067  1 Cu 2.26
S  0.5558  0.2724  0.9933  1 Cu 2.26
S  0.0932  0.1116  0.7863  3 Cu 2.26-2.38

***

# 6
Here is an optimized crystal structure of TbZrPO from OQMD. Energies are from PBE.

Summary:
The total magnetization comes out at 0.09 μB/cell. The calculation puts the volume at 136.2 Å³ per cell. The calculation puts the final energy at -0.5407 Ry per atom. The calculation puts the energy relative to the lowest polymorph listed for this composition at 554 meV/atom.

Cell: 4.0331 4.0331 8.3707 Å, 90.00 90.00 90.00°
With the nearest neighbours (Å) after each atom.
Sites, in units of the cell vectors:
Tb  0.2500  0.7500  0.5000  4 P 2.80, 4 Tb 2.85
Tb  0.7500  0.2500  0.5000  4 P 2.80, 4 Tb 2.85
O  0.7500  0.2500  0.0000  4 Zr 2.26
O  0.2500  0.7500  0.0000  4 Zr 2.26
P  0.2500  0.2500  0.7319  4 Tb 2.80, 4 O 3.02, 4 Zr 3.11
P  0.7500  0.7500  0.2681  4 Tb 2.80, 4 O 3.02, 4 Zr 3.11
Zr  0.2500  0.2500  0.1209  4 O 2.26
Zr  0.7500  0.7500  0.8791  4 O 2.26

***

# 7
Here is an optimized crystal structure of NdSm2 from OQMD. Energies are from PBE.

Summary:
The value obtained for the calculated formation energy is 2.183 eV/atom. The total magnetization comes out at 0.00 μB/cell. The calculation puts the volume at 532.0 Å³ per cell. The calculation puts the final energy at -0.1871 Ry per atom. The calculation puts the energy relative to the lowest polymorph listed for this composition at 1929 meV/atom.

Cell: 9.0949 9.0949 9.0949 Å, 60.00 60.00 60.00°
With the nearest neighbours (Å) after each atom.
Sites, in units of the cell vectors:
Nd  0.5000  0.5000  0.5000  4 Sm 2.78
Nd  0.2500  0.2500  0.2500  4 Sm 2.78
Sm  0.3750  0.3750  0.3750  2 Nd 2.78
Sm  0.8750  0.3750  0.3750  2 Nd 2.78
Sm  0.3750  0.8750  0.3750  2 Nd 2.78
Sm  0.3750  0.3750  0.8750  2 Nd 2.78

***

# 8
Here is an optimized crystal structure of BaZrNi from OQMD. Energies are from PBE.

Summary:
The total magnetization comes out at 1.15 μB/cell. The calculation puts the volume at 83.3 Å³ per cell. The calculation puts the final energy at -0.3437 Ry per atom. The calculation puts the energy relative to the lowest polymorph listed for this composition at 0 meV/atom.

Cell: 4.9029 4.9029 4.9029 Å, 60.00 60.00 60.00°
With the nearest neighbours (Å) after each atom.
Sites, in units of the cell vectors:
Ba  0.2500  0.2500  0.2500  4 Ni 3.00
Zr  0.7500  0.7500  0.7500  4 Ni 3.00
Ni  0.0000  0.0000  0.0000  4 Zr 3.00, 4 Ba 3.00

***

# 9
Here is an optimized crystal structure of TbDy2In3Pd2Au from OQMD. Energies are from PBE.

Summary:
The total magnetization comes out at 0.01 μB/cell. The calculation puts the volume at 202.1 Å³ per cell. The calculation puts the final energy at -0.3486 Ry per atom.

Cell: 3.8500 7.7875 7.7875 Å, 120.05 90.00 90.00°
With the nearest neighbours (Å) after each atom.
Sites, in units of the cell vectors:
In  0.5000  0.7316  0.0004  2 Au 2.84, 2 Pd 2.87-2.88, 2 Dy 3.18
In  0.5000  0.0004  0.7316  2 Au 2.84, 2 Pd 2.87-2.88, 2 Dy 3.18
In  0.5000  0.2680  0.2680  2 Au 2.84, 2 Pd 2.89
Pd  0.5000  0.6669  0.3326  3 In 2.87-2.89, 4 Dy 3.04, 2 Tb 3.05
Pd  0.5000  0.3326  0.6669  3 In 2.87-2.89, 4 Dy 3.04, 2 Tb 3.05
Dy  0.0000  0.4065  0.0000  4 Pd 3.04, 1 Au 3.16, 6 In 3.18-3.39
Dy  0.0000  0.0000  0.4065  4 Pd 3.04, 1 Au 3.16, 6 In 3.18-3.39
Au  0.0000  0.0004  0.0004  6 In 2.84, 2 Dy 3.16, 1 Tb 3.17
Tb  0.0000  0.5934  0.5934  4 Pd 3.05, 1 Au 3.17, 6 In 3.18-3.39

***

# 10
Here is an optimized crystal structure of Ba5Cd2Sb5F from OQMD. Energies are from PBE.

Summary:
The calculation puts the volume at 902.3 Å³ per cell. The calculation puts the final energy at -0.2818 Ry per atom.

Cell: 4.9679 11.9677 15.5145 Å, 90.00 90.00 78.02°
With the nearest neighbours (Å) after each atom.
Sites, in units of the cell vectors:
Ba  0.2745  0.4509  0.6178  1 F 2.71
Ba  0.8988  0.2025  0.2500  6 Sb 3.53-3.58, 4 Cd 3.60
Ba  0.0000  0.0000  0.5000  6 Sb 3.49-3.50
Ba  0.9049  0.1902  0.7500  2 F 2.80
Ba  0.0000  0.0000  0.0000  6 Sb 3.49-3.50
Ba  0.2745  0.4509  0.8822  1 F 2.71
Ba  0.7255  0.5491  0.3822  1 F 2.71
Ba  0.7255  0.5491  0.1178  1 F 2.71
Ba  0.1012  0.7975  0.7500  6 Sb 3.53-3.58, 4 Cd 3.60
Ba  0.0951  0.8098  0.2500  2 F 2.80
Cd  0.3664  0.2671  0.4107  4 Sb 2.95-3.09
Cd  0.6336  0.7329  0.9107  4 Sb 2.95-3.09
Cd  0.6336  0.7329  0.5893  4 Sb 2.95-3.09
Cd  0.3664  0.2671  0.0893  4 Sb 2.95-3.09
Sb  0.4905  0.0191  0.3421  1 Sb 2.86, 1 Cd 3.09
Sb  0.1487  0.7026  0.0104  2 Cd 2.95
Sb  0.1487  0.7026  0.4896  2 Cd 2.95
Sb  0.8513  0.2974  0.9896  2 Cd 2.95
Sb  0.5095  0.9809  0.8421  1 Sb 2.86, 1 Cd 3.09
Sb  0.7081  0.5837  0.7500  2 Cd 3.04
Sb  0.5095  0.9809  0.6579  1 Sb 2.86, 1 Cd 3.09
Sb  0.8513  0.2974  0.5104  2 Cd 2.95
Sb  0.2919  0.4163  0.2500  2 Cd 3.04
Sb  0.4905  0.0191  0.1579  1 Sb 2.86, 1 Cd 3.09
F  0.3499  0.3002  0.7500  4 Ba 2.71-2.80
F  0.6501  0.6998  0.2500  4 Ba 2.71-2.80